# Fe3Ni6Rh (PBE-GGA, optimized geometry)
# Final energy = -6.619 eV per atom
# Density = 8.61 Mg/m³
# Energy relative to the elements = 0.12 eV per atom
# Relative energy among the computed polymorphs = 0.163 eV per atom
data_Fe3Ni6Rh
_cell_length_a 6.8776
_cell_length_b 4.7323
_cell_length_c 4.7323
_cell_angle_alpha 60.31
_cell_angle_beta 67.60
_cell_angle_gamma 67.60
_symmetry_space_group_name_H-M 'P 1'
_symmetry_Int_Tables_number 1
loop_
_symmetry_equiv_pos_as_xyz
'x,y,z'
loop_
_atom_site_label
_atom_site_type_symbol
_atom_site_fract_x
_atom_site_fract_y
_atom_site_fract_z
Ni1 Ni 0.6956 0.4470 0.9322
Ni2 Ni 0.6956 0.9322 0.4470
Ni3 Ni 0.3044 0.5530 0.0678
Ni4 Ni 0.0683 0.6430 0.6430
Ni5 Ni 0.9317 0.3570 0.3570
Ni6 Ni 0.3044 0.0678 0.5530
Fe1 Fe 0.0000 0.0000 0.0000
Fe2 Fe 0.3020 0.0625 0.0625
Fe3 Fe 0.6980 0.9375 0.9375
Rh1 Rh 0.5000 0.5000 0.5000